Pr2Tm8Mg: optimized geometry, GGA-PBE.

The structure in POSCAR format:
```
Pr2Tm8Mg
1.0
8.136 -3.276 0.000
8.136 3.276 0.000
-1.332 0.000 6.467
Pr Tm Mg
2 8 1
Direct
0.187 0.187 0.295
0.813 0.813 0.705
0.178 0.659 0.112
0.246 0.246 0.816
0.341 0.822 0.888
0.408 0.408 0.586
0.592 0.592 0.414
0.659 0.178 0.112
0.754 0.754 0.184
0.822 0.341 0.888
0.000 0.000 0.500
```

Results
The calculation puts the formation energy at 0.14 eV per atom. Its crystal system is monoclinic. The total energy is -4.1264 eV/atom.

***

Pr3TmMg4: optimized geometry, GGA-PBE.

The structure in POSCAR format:
```
Pr3TmMg4
1.0
3.901 0.000 0.000
0.000 5.448 0.000
0.000 0.000 10.924
Pr Tm Mg
3 1 4
Direct
0.000 0.000 0.000
0.000 0.500 0.253
0.000 0.500 0.747
0.000 0.000 0.500
0.500 0.000 0.258
0.500 0.000 0.742
0.500 0.500 0.000
0.500 0.500 0.500
```

Results
The calculation puts the formation energy at -0.10 eV per atom. Its crystal system is orthorhombic. The total energy is -3.2456 eV/atom.

***

Pr5Tm2Mg: optimized geometry, GGA-PBE.

The structure in POSCAR format:
```
Pr5Tm2Mg
1.0
0.000 5.128 5.128
5.008 0.000 5.128
5.008 5.128 0.000
Pr Tm Mg
5 2 1
Direct
0.000 0.000 0.000
0.000 0.000 0.500
0.000 0.500 0.000
0.500 0.000 0.500
0.500 0.500 0.000
0.000 0.499 0.501
0.499 0.000 0.000
0.500 0.500 0.500
```

Results
The calculation puts the formation energy at 0.01 eV per atom. Its crystal system is orthorhombic. The total energy is -4.2917 eV/atom.

***

Pr4TmMg5: optimized geometry, GGA-PBE.

The structure in POSCAR format:
```
Pr4TmMg5
1.0
3.874 0.000 0.000
0.000 3.874 0.000
0.000 0.000 19.471
Pr Tm Mg
4 1 5
Direct
0.000 0.000 0.102
0.000 0.000 0.305
0.000 0.000 0.695
0.000 0.000 0.898
0.000 0.000 0.500
0.500 0.500 0.000
0.500 0.500 0.203
0.500 0.500 0.408
0.500 0.500 0.592
0.500 0.500 0.797
```

Results
The calculation puts the formation energy at -0.10 eV per atom. Its crystal system is tetragonal. The total energy is -3.2565 eV/atom.

***

Pr3Tm3Mg: optimized geometry, GGA-PBE.

The structure in POSCAR format:
```
Pr3Tm3Mg
1.0
3.118 1.800 14.009
-3.118 1.800 14.009
0.000 -3.601 14.009
Pr Tm Mg
6 6 2
Direct
0.103 0.434 0.766
0.234 0.897 0.566
0.434 0.766 0.103
0.566 0.234 0.897
0.766 0.103 0.434
0.897 0.566 0.234
0.033 0.699 0.367
0.301 0.633 0.967
0.367 0.033 0.699
0.633 0.967 0.301
0.699 0.367 0.033
0.967 0.301 0.633
0.167 0.167 0.167
0.833 0.833 0.833
```

Results
The calculation puts the formation energy at 0.08 eV per atom. Its crystal system is trigonal. The total energy is -4.1108 eV/atom.

***

Pr6Tm8Mg: optimized geometry, GGA-PBE.

The structure in POSCAR format:
```
Pr6Tm8Mg
1.0
9.515 0.000 0.000
-4.758 8.240 0.000
0.000 0.000 6.270
Pr Tm Mg
6 8 1
Direct
0.088 0.638 0.192
0.362 0.450 0.192
0.450 0.088 0.808
0.550 0.912 0.192
0.638 0.550 0.808
0.912 0.362 0.808
0.040 0.776 0.690
0.224 0.263 0.690
0.263 0.040 0.310
0.333 0.667 0.679
0.667 0.333 0.321
0.737 0.960 0.690
0.776 0.737 0.310
0.960 0.224 0.310
0.000 0.000 0.000
```

Results
The calculation puts the formation energy at 0.13 eV per atom. Its crystal system is trigonal. The total energy is -4.2764 eV/atom.

***

Pr2Tm5Mg: optimized geometry, GGA-PBE.

The structure in POSCAR format:
```
Pr2Tm5Mg
1.0
-3.489 3.489 5.053
3.489 -3.489 5.053
3.489 3.489 -5.053
Pr Tm Mg
2 5 1
Direct
0.000 0.500 0.500
0.500 0.000 0.500
0.000 0.000 0.000
0.000 0.000 0.500
0.000 0.500 0.000
0.500 0.000 0.000
0.500 0.500 0.500
0.500 0.500 0.000
```

Results
The calculation puts the formation energy at 0.03 eV per atom. Its crystal system is tetragonal. The total energy is -4.1629 eV/atom.

***

Pr4Tm3Mg: optimized geometry, GGA-PBE.

The structure in POSCAR format:
```
Pr4Tm3Mg
1.0
3.661 0.000 0.000
0.000 3.661 0.000
0.000 0.000 19.330
Pr Tm Mg
4 3 1
Direct
0.000 0.000 0.116
0.000 0.000 0.373
0.000 0.000 0.627
0.000 0.000 0.884
0.500 0.500 0.244
0.500 0.500 0.500
0.500 0.500 0.756
0.500 0.500 0.000
```

Results
The calculation puts the formation energy at 0.00 eV per atom. Its crystal system is tetragonal. The total energy is -4.2685 eV/atom.

***

Pr15Tm4Mg: optimized geometry, GGA-PBE.

The structure in POSCAR format:
```
Pr15Tm4Mg
1.0
5.149 0.000 0.000
0.000 5.149 0.000
0.000 0.000 25.809
Pr Tm Mg
15 4 1
Direct
0.000 0.000 0.000
0.000 0.000 0.198
0.000 0.000 0.399
0.000 0.000 0.601
0.000 0.000 0.802
0.000 0.500 0.099
0.000 0.500 0.299
0.000 0.500 0.500
0.000 0.500 0.701
0.000 0.500 0.901
0.500 0.000 0.099
0.500 0.000 0.299
0.500 0.000 0.500
0.500 0.000 0.701
0.500 0.000 0.901
0.500 0.500 0.198
0.500 0.500 0.399
0.500 0.500 0.601
0.500 0.500 0.802
0.500 0.500 0.000
```

Results
The calculation puts the formation energy at 0.01 eV per atom. Its crystal system is tetragonal. The total energy is -4.5534 eV/atom.

***

Pr4Y2TmMg: optimized geometry, GGA-PBE.

The structure in POSCAR format:
```
Pr4Y2TmMg
1.0
5.112 0.000 0.000
0.000 5.112 0.000
0.000 0.000 10.040
Pr Y Tm Mg
4 2 1 1
Direct
0.000 0.500 0.247
0.000 0.500 0.753
0.500 0.000 0.247
0.500 0.000 0.753
0.000 0.000 0.000
0.500 0.500 0.500
0.000 0.000 0.500
0.500 0.500 0.000
```

Results
The calculation puts the formation energy at 0.01 eV per atom. Its crystal system is tetragonal. The total energy is -4.7574 eV/atom.

***

PrYTmMg: optimized geometry, GGA-PBE.

The structure in POSCAR format:
```
PrYTmMg
1.0
3.694 0.000 0.000
0.000 3.694 0.000
0.000 0.000 8.935
Pr Y Tm Mg
1 1 1 1
Direct
0.000 0.000 0.000
0.500 0.500 0.714
0.500 0.500 0.276
0.000 0.000 0.492
```

Results
The calculation puts the formation energy at -0.03 eV per atom. Its crystal system is tetragonal. The total energy is -4.3535 eV/atom. For the polymorph energy (0 for the lowest one), the calculation gives 0 meV/atom.

***

Pr3Y6Tm2Mg: optimized geometry, GGA-PBE.

The structure in POSCAR format:
```
Pr3Y6Tm2Mg
1.0
3.108 -5.387 0.000
3.108 5.387 0.000
-2.085 0.000 11.568
Pr Y Tm Mg
3 6 2 1
Direct
0.000 0.000 0.000
0.335 0.665 0.000
0.665 0.335 0.000
0.088 0.420 0.257
0.248 0.248 0.743
0.420 0.088 0.257
0.580 0.912 0.743
0.752 0.752 0.257
0.912 0.580 0.743
0.166 0.834 0.500
0.834 0.166 0.500
0.500 0.500 0.500
```

Results
The calculation puts the formation energy at 0.04 eV per atom. Its crystal system is monoclinic. The total energy is -5.2686 eV/atom.